Record 1
First-principles (PBE-GGA) data for a geometry-optimized AgIrRu2 structure, as listed in Alexandria.

```
AgIrRu2
1.0
2.7444 0.0000 0.0000
0.0000 2.7444 0.0000
0.0000 0.0000 7.9750
Ag Ir Ru
1 1 2
Cartesian
0.0000 0.0000 0.0000
1.3722 1.3722 2.1612
0.0000 0.0000 4.0201
1.3722 1.3722 5.8143
```

formation enthalpy at 0 K: 0.271 eV/atom
total energy: -7.2951 eV/atom
excess energy over the best structure of this formula in the dataset: 0.12 eV per formula unit
spin magnetization: 0.0 μB/cell



Record 2
First-principles (PBE-GGA) data for a geometry-optimized Ag2IrRu structure, as listed in Alexandria.

```
Ag2IrRu
1.0
2.7889 0.0000 0.0000
0.0000 3.7869 0.0000
0.0000 0.0000 6.1633
Ag Ir Ru
2 1 1
Cartesian
0.0000 0.0000 0.0000
1.3944 1.8934 1.5627
0.0000 0.0000 3.3295
1.3944 1.8934 4.3991
```

formation enthalpy at 0 K: 0.295 eV/atom
total energy: -5.6653 eV/atom
excess energy over the best structure of this formula in the dataset: 0.30 eV per formula unit
spin magnetization: 0.0 μB/cell